First-principles (GGA+U) data for Sr2CrCdO5 after structural relaxation, as listed in Alexandria via LeMat-Bulk.

a = 5.7401 Å, b = 6.8784 Å, c = 6.8784 Å
α = 90.00°, β = 90.00°, γ = 90.00°
With the nearest neighbours (Å) after each atom.
Element x y z (fractional)
Sr 0.5000 0.6762 0.1762  8 O 2.47-2.67
Sr 0.5000 0.1762 0.3238  8 O 2.47-2.67
Sr 0.5000 0.8238 0.6762  8 O 2.47-2.67
Sr 0.5000 0.3238 0.8238  8 O 2.47-2.67
Cr 0.0000 0.0000 0.5000  4 O 1.79
Cr 0.0000 0.5000 0.0000  4 O 1.79
Cd 0.0000 0.5000 0.5000  10 O 2.87-2.98
Cd 0.0000 0.0000 0.0000  10 O 2.87-2.98
O 0.5000 0.5000 0.5000  4 Sr 2.54
O 0.5000 0.0000 0.0000  4 Sr 2.54
O 0.2204 0.1303 0.6303  1 Cr 1.79
O 0.2204 0.8697 0.3697  1 Cr 1.79
O 0.2204 0.3697 0.1303  1 Cr 1.79
O 0.2204 0.6303 0.8697  1 Cr 1.79
O 0.7796 0.1303 0.6303  1 Cr 1.79
O 0.7796 0.6303 0.8697  1 Cr 1.79
O 0.7796 0.8697 0.3697  1 Cr 1.79
O 0.7796 0.3697 0.1303  1 Cr 1.79

Output
SG: No. 127
Energy (eV per atom): -5.71
Total magnetic moment (μB/cell): 0.03